Material: NiBr2O
Method: DFT, PBE+U
State: relaxed

Properties
Size of the total moment   1.01 μB/f.u.
Final energy   -2.175 eV per atom

Cell lengths 7.470, 7.470, 7.470 Å; angles 140.01, 140.01, 57.84 degrees
Element x y z (fractional)
Ni 0.000 0.000 0.000
Ni 0.750 0.250 0.500
Br 0.164 0.625 0.039
Br 0.375 0.414 0.539
Br 0.586 0.125 0.961
Br 0.875 0.836 0.461
O 0.250 0.750 0.500
O 0.500 0.500 0.000